## Mn2AuSe (PBE)

Data for crystalline Mn2AuSe at its relaxed geometry.

a b c (Å): 6.7771 6.7771 6.7771
angles (deg): 152.14 148.64 42.44
Last column: nearest neighbours and their distance in Å.
Fractional coordinates of all 4 atoms:
Au 0.2946 0.7946 0.5000  6 Mn 2.69-2.74
Se 0.5426 0.5426 0.0000  6 Mn 2.65-2.69
Mn 0.7074 0.2074 0.5000  2 Se 2.65, 4 Au 2.69
Mn 0.9554 0.9554 0.0000  4 Se 2.69, 2 Au 2.74

Summary:
Density of states at the Fermi level = 0.78 states/eV/atom
Raw total energy = -6.215 eV per atom
Theoretical density = 8.484 g cm⁻³
Crystal system = orthorhombic

***

## ErBiSe2 (PBE)

Data for crystalline ErBiSe2 at its relaxed geometry.

a b c (Å): 3.9838 3.9838 9.3305
angles (deg): 77.67 77.67 60.00
Last column: nearest neighbours and their distance in Å.
Fractional coordinates of all 4 atoms:
Se 0.1069 0.1069 0.6793  3 Er 2.81, 1 Bi 2.90
Se 0.8931 0.8931 0.3207  3 Er 2.81, 1 Bi 2.90
Er 0.5000 0.5000 0.5000  6 Se 2.81
Bi 0.0000 0.0000 0.0000  2 Se 2.90

Summary:
Density of states at the Fermi level = 0.12 states/eV/atom
Raw total energy = -4.973 eV per atom
Theoretical density = 7.137 g cm⁻³
Crystal system = trigonal

***

## PmPr2Mg5 (PBE)

Data for crystalline PmPr2Mg5 at its relaxed geometry.

a b c (Å): 5.2945 5.2945 8.7789
angles (deg): 107.55 107.55 90.00
Last column: nearest neighbours and their distance in Å.
Fractional coordinates of all 8 atoms:
Pm 0.0000 0.0000 0.0000  8 Mg 3.23
Mg 0.5000 0.5000 0.0000  8 Mg 3.23
Mg 0.1162 0.6162 0.2324  2 Mg 3.23, 2 Pm 3.23, 4 Pr 3.29-3.51
Mg 0.8838 0.3838 0.7676  2 Mg 3.23, 2 Pm 3.23, 4 Pr 3.29-3.51
Mg 0.3838 0.8838 0.7676  2 Pm 3.23, 2 Mg 3.23, 4 Pr 3.29-3.51
Mg 0.6162 0.1162 0.2324  2 Pm 3.23, 2 Mg 3.23, 4 Pr 3.29-3.51
Pr 0.2610 0.2610 0.5220  8 Mg 3.29-3.51
Pr 0.7390 0.7390 0.4780  8 Mg 3.29-3.51

Summary:
Density of states at the Fermi level = 1.00 states/eV/atom
Raw total energy = -2.882 eV per atom
Theoretical density = 4.091 g cm⁻³
Crystal system = tetragonal

***

## CaUSi2Pt4 (PBE)

Data for crystalline CaUSi2Pt4 at its relaxed geometry.

a b c (Å): 4.2726 4.2726 8.5706
angles (deg): 90.00 90.00 90.00
Last column: nearest neighbours and their distance in Å.
Fractional coordinates of all 8 atoms:
Ca 0.0000 0.0000 0.5000  8 Pt 3.18, 8 Si 3.25
Pt 0.0000 0.5000 0.7750  2 Si 2.43
Pt 0.0000 0.5000 0.2250  2 Si 2.43
Pt 0.5000 0.0000 0.7750  2 Si 2.43
Pt 0.5000 0.0000 0.2250  2 Si 2.43
Si 0.5000 0.5000 0.3597  1 Si 2.40, 4 Pt 2.43
Si 0.5000 0.5000 0.6403  1 Si 2.40, 4 Pt 2.43
U 0.0000 0.0000 0.0000  8 Pt 2.88

Summary:
Density of states at the Fermi level = 1.39 states/eV/atom
Raw total energy = -6.762 eV per atom
Theoretical density = 11.830 g cm⁻³
Crystal system = tetragonal

***

## NaNb2AsPd (PBE)

Data for crystalline NaNb2AsPd at its relaxed geometry.

a b c (Å): 5.0372 4.8652 5.0372
angles (deg): 90.00 90.00 90.00
Last column: nearest neighbours and their distance in Å.
Fractional coordinates of all 5 atoms:
As 0.0000 0.5000 0.0000  2 Pd 2.43
Na 0.5000 0.5000 0.5000  8 Nb 3.50, 4 As 3.56
Pd 0.0000 0.0000 0.0000  2 As 2.43, 4 Nb 2.52
Nb 0.5000 0.0000 0.0000  2 Pd 2.52
Nb 0.0000 0.0000 0.5000  2 Pd 2.52

Summary:
Density of states at the Fermi level = 1.37 states/eV/atom
Raw total energy = -5.139 eV per atom
Theoretical density = 5.248 g cm⁻³
Crystal system = tetragonal

***

## LiCaPmCo (PBE)

Data for crystalline LiCaPmCo at its relaxed geometry.

a b c (Å): 4.9908 4.9908 4.9908
angles (deg): 60.00 60.00 60.00
Last column: nearest neighbours and their distance in Å.
Fractional coordinates of all 4 atoms:
Ca 0.0000 0.0000 0.0000  4 Li 3.06, 4 Co 3.06
Li 0.7500 0.7500 0.7500  4 Pm 3.06, 4 Ca 3.06
Pm 0.5000 0.5000 0.5000  4 Co 3.06, 4 Li 3.06
Co 0.2500 0.2500 0.2500  4 Ca 3.06, 4 Pm 3.06

Summary:
Density of states at the Fermi level = 0.83 states/eV/atom
Raw total energy = -3.811 eV per atom
Theoretical density = 4.741 g cm⁻³
Crystal system = cubic